! HfNbH2 GGA-PBE optimized geometry; values from VASP
! Density = 9.97 Mg/m³
! Energy above the lowest structure with this stoichiometry = 0.0005 eV/atom
! DFT total energy = -6.894 eV per atom
&SYSTEM
  ibrav = 0, nat = 8, ntyp = 3
/
ATOMIC_SPECIES
Hf 178.49 Hf.upf
Nb 92.91 Nb.upf
H 1.01 H.upf
ATOMIC_POSITIONS angstrom
Hf -0.028 0.654 1.454
Hf -0.085 2.394 4.361
Nb 2.570 1.524 0.000
Nb 2.513 1.524 2.907
H 0.661 0.873 5.423
H 0.718 2.175 2.516
H 4.308 0.873 3.298
H 4.364 2.175 0.391
CELL_PARAMETERS angstrom
5.139 0.000 0.000
0.000 3.048 0.000
-0.114 0.000 5.814

---

! CsHPt2 GGA-PBE optimized geometry; values from VASP
! Density = 11.46 Mg/m³
! DFT total energy = -4.042 eV per atom
&SYSTEM
  ibrav = 0, nat = 8, ntyp = 3
/
ATOMIC_SPECIES
Cs 132.91 Cs.upf
H 1.01 H.upf
Pt 195.08 Pt.upf
ATOMIC_POSITIONS angstrom
Cs 1.059 1.059 1.059
Cs 7.411 7.411 7.411
H 3.176 3.176 3.176
H 5.293 5.293 5.293
Pt 4.235 2.117 2.117
Pt 2.117 4.235 2.117
Pt 2.117 2.117 4.235
Pt 4.235 4.235 4.235
CELL_PARAMETERS angstrom
0.000 4.235 4.235
4.235 0.000 4.235
4.235 4.235 0.000

---

! HfTh2Mg GGA-PBE optimized geometry; values from VASP
! Density = 9.78 Mg/m³
! Energy above the lowest structure with this stoichiometry = 0.0000 eV/atom
! DFT total energy = -6.503 eV per atom
! E_form = 94 meV per atom
&SYSTEM
  ibrav = 0, nat = 4, ntyp = 3
/
ATOMIC_SPECIES
Hf 178.49 Hf.upf
Th 232.04 Th.upf
Mg 24.30 Mg.upf
ATOMIC_POSITIONS angstrom
Hf 0.000 0.000 0.000
Th 1.680 1.680 2.389
Th 1.680 1.680 7.638
Mg 0.000 0.000 5.014
CELL_PARAMETERS angstrom
3.360 0.000 0.000
0.000 3.360 0.000
0.000 0.000 10.027

---

Q: Which value of DFT total energy does entry 2 give?
A: -4.042 eV per atom